[1]
DFT (PBEsol) results for crystalline Mg3Sn at its relaxed geometry.

Lattice parameters (Å, degrees): 5.044 5.044 5.044 60.00 60.00 60.00
Atoms (fractional coordinates):
Sn 0.500 0.500 0.500
Mg 0.750 0.750 0.750
Mg 0.000 0.000 0.000
Mg 0.250 0.250 0.250

Results
E = -2.42 eV per atom
Energy of formation from the pure elements = -0.0659 eV/atom
Space-group type = No. 225

[2]
DFT (PBEsol) results for crystalline Hg2PtBr at its relaxed geometry.

Lattice parameters (Å, degrees): 3.396 5.073 6.541 107.87 90.00 109.56
Atoms (fractional coordinates):
Hg 0.700 0.400 0.656
Hg 0.046 0.092 0.968
Pt 0.419 0.838 0.638
Br 0.335 0.670 0.238

Results
E = -2.44 eV per atom
Relative energy among the computed polymorphs = 0.0 meV per atom
Space-group type = No. 8

[3]
DFT (PBEsol) results for crystalline PbBrNF2 at its relaxed geometry.

Lattice parameters (Å, degrees): 3.681 4.831 4.831 90.00 90.00 90.00
Atoms (fractional coordinates):
Pb 0.500 0.500 0.500
F 0.000 0.500 0.000
F 0.000 0.000 0.500
N 0.500 0.000 0.000
Br 0.000 0.000 0.000

Results
E = -3.65 eV per atom
Space-group type = No. 123

[4]
DFT (PBEsol) results for crystalline InOsAu2N at its relaxed geometry.

Lattice parameters (Å, degrees): 4.950 4.950 5.173 90.00 90.00 90.00
Site moments in Bohr magnetons follow the coordinates.
Atoms (fractional coordinates):
Au 0.500 0.000 0.000  0.08
Au 0.000 0.500 0.000  0.08
N 0.500 0.500 0.500  1.78
Os 0.000 0.000 0.000  0.27
In 0.000 0.000 0.500  0.00

Results
E = -4.31 eV per atom
Space-group type = No. 123